K3NaFe2F9 | PBE+U | optimized geometry

M_tot (μB per formula unit): 9.00
Space group: No. 164
Raw total energy (eV/cell): -72.91

The structure in POSCAR format:
```
K3NaFe2F9
1.0
5.949 0.000 0.000
-2.975 5.152 0.000
0.000 0.000 7.257
K Na Fe F
3 1 2 9
Cartesian
0.000 0.000 0.000
0.000 3.435 4.717
2.975 1.717 2.539
0.000 0.000 3.628
0.000 3.435 1.176
2.975 1.717 6.081
-1.487 2.576 0.000
0.000 1.799 2.276
-1.417 4.253 2.276
1.558 0.899 4.981
2.975 0.000 0.000
1.487 2.576 0.000
1.417 4.253 2.276
4.392 0.899 4.981
2.975 3.354 4.981
```